[1]
First-principles (PBE) data for an optimized crystal structure of NbTlS2N, as listed in Alexandria via LeMat-Bulk.

a = 5.0804 Å, b = 5.0804 Å, c = 3.9846 Å
α = 90.00°, β = 90.00°, γ = 90.00°
Space group P4/mmm (No. 123)
Symmetry-distinct sites (fractional):
Nb  0.0000  0.0000  0.0000 x1
Tl  0.5000  0.5000  0.5000 x1
S  0.0000  0.5000  0.5000 x2
N  0.5000  0.5000  0.0000 x1

Raw formation energy: 1.569 eV per atom
Distance to the lowest polymorph of the same formula: 8.95 eV/f.u.

---

[2]
First-principles (PBE) data for an optimized crystal structure of NbTlS2N, as listed in Alexandria via LeMat-Bulk.

a = 5.0308 Å, b = 5.0308 Å, c = 3.9856 Å
α = 90.00°, β = 90.00°, γ = 90.00°
Space group P4/mmm (No. 123)
Symmetry-distinct sites (fractional):
Nb  0.0000  0.0000  0.0000 x1
Tl  0.5000  0.5000  0.5000 x1
S  0.0000  0.5000  0.0000 x2
N  0.0000  0.0000  0.5000 x1

Raw formation energy: -0.221 eV per atom
Distance to the lowest polymorph of the same formula: 0.00 eV/f.u.

---

[3]
First-principles (PBE) data for an optimized crystal structure of NbTlSN2, as listed in Alexandria via LeMat-Bulk.

a = 4.1737 Å, b = 4.1737 Å, c = 5.3098 Å
α = 90.00°, β = 90.00°, γ = 90.00°
Space group P4/mmm (No. 123)
Symmetry-distinct sites (fractional):
Nb  0.0000  0.0000  0.0000 x1
Tl  0.5000  0.5000  0.5000 x1
S  0.5000  0.5000  0.0000 x1
N  0.0000  0.5000  0.5000 x2

Raw formation energy: 1.881 eV per atom
Distance to the lowest polymorph of the same formula: 8.65 eV/f.u.

---

[4]
First-principles (PBE) data for an optimized crystal structure of NbWS2N, as listed in Alexandria via LeMat-Bulk.

a = 4.8986 Å, b = 4.8986 Å, c = 3.8449 Å
α = 90.00°, β = 90.00°, γ = 90.00°
Space group P4/mmm (No. 123)
Symmetry-distinct sites (fractional):
Nb  0.0000  0.0000  0.0000 x1
W  0.5000  0.5000  0.5000 x1
S  0.0000  0.5000  0.0000 x2
N  0.0000  0.0000  0.5000 x1

Raw formation energy: 0.794 eV per atom
Distance to the lowest polymorph of the same formula: 2.21 eV/f.u.

---

[5]
First-principles (PBE) data for an optimized crystal structure of NbWS2N, as listed in Alexandria via LeMat-Bulk.

a = 4.8057 Å, b = 4.8057 Å, c = 3.7724 Å
α = 90.00°, β = 90.00°, γ = 90.00°
Space group P4/mmm (No. 123)
Symmetry-distinct sites (fractional):
Nb  0.0000  0.0000  0.0000 x1
W  0.5000  0.5000  0.5000 x1
S  0.0000  0.5000  0.5000 x2
N  0.5000  0.5000  0.0000 x1

Raw formation energy: 0.352 eV per atom
Distance to the lowest polymorph of the same formula: 0.00 eV/f.u.

---

[6]
First-principles (PBE) data for an optimized crystal structure of NbWSN2, as listed in Alexandria via LeMat-Bulk.

a = 3.9880 Å, b = 3.9880 Å, c = 5.0128 Å
α = 90.00°, β = 90.00°, γ = 90.00°
Space group P4/mmm (No. 123)
Symmetry-distinct sites (fractional):
Nb  0.0000  0.0000  0.0000 x1
W  0.5000  0.5000  0.5000 x1
S  0.0000  0.0000  0.5000 x1
N  0.0000  0.5000  0.0000 x2

Raw formation energy: 0.993 eV per atom
Distance to the lowest polymorph of the same formula: 2.81 eV/f.u.

---

[7]
First-principles (PBE) data for an optimized crystal structure of NbWSN2, as listed in Alexandria via LeMat-Bulk.

a = 3.9073 Å, b = 3.9073 Å, c = 4.8223 Å
α = 90.00°, β = 90.00°, γ = 90.00°
Space group P4/mmm (No. 123)
Symmetry-distinct sites (fractional):
Nb  0.0000  0.0000  0.0000 x1
W  0.5000  0.5000  0.5000 x1
S  0.5000  0.5000  0.0000 x1
N  0.0000  0.5000  0.5000 x2

Raw formation energy: 0.431 eV per atom
Distance to the lowest polymorph of the same formula: 0.00 eV/f.u.

---

[8]
First-principles (PBE) data for an optimized crystal structure of YNbS2N, as listed in Alexandria via LeMat-Bulk.

a = 5.1615 Å, b = 5.1615 Å, c = 4.2791 Å
α = 90.00°, β = 90.00°, γ = 90.00°
Space group P4/mmm (No. 123)
Symmetry-distinct sites (fractional):
Y  0.0000  0.0000  0.0000 x1
Nb  0.5000  0.5000  0.5000 x1
S  0.0000  0.5000  0.0000 x2
N  0.0000  0.0000  0.5000 x1

Raw formation energy: 0.397 eV per atom
Distance to the lowest polymorph of the same formula: 6.55 eV/f.u.

---

[9]
First-principles (PBE) data for an optimized crystal structure of YNbS2N, as listed in Alexandria via LeMat-Bulk.

a = 4.8895 Å, b = 4.8895 Å, c = 3.9473 Å
α = 90.00°, β = 90.00°, γ = 90.00°
Space group P4/mmm (No. 123)
Symmetry-distinct sites (fractional):
Y  0.0000  0.0000  0.0000 x1
Nb  0.5000  0.5000  0.5000 x1
S  0.0000  0.5000  0.5000 x2
N  0.5000  0.5000  0.0000 x1

Raw formation energy: -0.912 eV per atom
Distance to the lowest polymorph of the same formula: 0.00 eV/f.u.

---

[10]
First-principles (PBE) data for an optimized crystal structure of NbZnS2N, as listed in Alexandria via LeMat-Bulk.

a = 4.9535 Å, b = 4.9535 Å, c = 3.8799 Å
α = 90.00°, β = 90.00°, γ = 90.00°
Space group P4/mmm (No. 123)
Symmetry-distinct sites (fractional):
Nb  0.0000  0.0000  0.0000 x1
Zn  0.5000  0.5000  0.5000 x1
S  0.0000  0.5000  0.0000 x2
N  0.0000  0.0000  0.5000 x1

Raw formation energy: 0.031 eV per atom
Distance to the lowest polymorph of the same formula: 0.00 eV/f.u.

---

[11]
First-principles (PBE) data for an optimized crystal structure of NbZnSN2, as listed in Alexandria via LeMat-Bulk.

a = 3.9558 Å, b = 3.9558 Å, c = 5.3208 Å
α = 90.00°, β = 90.00°, γ = 90.00°
Space group P4/mmm (No. 123)
Symmetry-distinct sites (fractional):
Nb  0.0000  0.0000  0.0000 x1
Zn  0.5000  0.5000  0.5000 x1
S  0.0000  0.0000  0.5000 x1
N  0.0000  0.5000  0.0000 x2

Raw formation energy: 0.261 eV per atom
Distance to the lowest polymorph of the same formula: 0.00 eV/f.u.

---

[12]
First-principles (PBE) data for an optimized crystal structure of NbZnSN2, as listed in Alexandria via LeMat-Bulk.

a = 3.7677 Å, b = 3.7677 Å, c = 4.7073 Å
α = 90.00°, β = 90.00°, γ = 90.00°
Space group P4/mmm (No. 123)
Symmetry-distinct sites (fractional):
Nb  0.0000  0.0000  0.0000 x1
Zn  0.5000  0.5000  0.5000 x1
S  0.5000  0.5000  0.0000 x1
N  0.0000  0.5000  0.5000 x2

Raw formation energy: 1.222 eV per atom
Distance to the lowest polymorph of the same formula: 4.81 eV/f.u.